Entry 1:
KIrSe2 | PBE | optimized geometry

Geometry as POSCAR:
```
KIrSe2
1.0
-1.3533 -2.6781 -1.3591
-0.5784 -1.2304 3.0004
-7.0475 3.5186 0.0843
Ir K Se
1 1 2
Direct
0.5000 0.5000 0.2500
0.5000 0.5000 0.7500
0.0000 0.0000 0.4374
0.0000 0.0000 0.0626
```

Computed properties:
ρ   7.562 g/cm3
SG   P4/mmm
VASP energy   -16.8 eV per cell
Uncorrected formation energy   0.14 eV/f.u.

Entry 2:
Dy9Er2Mg | PBE | optimized geometry

Geometry as POSCAR:
```
Dy9Er2Mg
1.0
4.9595 0.0000 0.0000
0.0000 4.9595 0.0000
0.0000 0.0000 14.9678
Dy Er Mg
9 2 1
Direct
0.5000 0.0000 0.5000
0.5000 0.5000 0.0000
0.0000 0.5000 0.1649
0.5000 0.5000 0.3297
0.0000 0.5000 0.5000
0.5000 0.0000 0.1649
0.0000 0.5000 0.8351
0.5000 0.0000 0.8351
0.5000 0.5000 0.6703
0.0000 0.0000 0.3319
0.0000 0.0000 0.6681
0.0000 0.0000 0.0000
```

Computed properties:
ρ   8.215 g/cm3
SG   P4/mmm
VASP energy   -51.9 eV per cell
Formation energy   0.021 eV per atom

Entry 3:
Te2PHI | PBE | optimized geometry

Geometry as POSCAR:
```
Te2PHI
1.0
4.2957 0.0000 0.0000
0.0000 4.2957 0.0000
0.0000 0.0000 7.9960
Te P H I
2 1 1 1
Direct
0.0000 0.5000 0.0000
0.5000 0.0000 0.0000
0.5000 0.5000 0.5000
0.0000 0.0000 0.0000
0.0000 0.0000 0.5000
```

Computed properties:
ρ   4.660 g/cm3
SG   P4/mmm
VASP energy   -13.1 eV per cell
Polymorph energy (0 for the lowest one)   0.0000 eV per atom